A relaxed ZnW3 crystal. Source: Alexandria, functional PBE-GGA.

Total magnetization in μB/cell: 0.0
D(E_F) in states/eV/cell: 2.95
E in eV per atom: -9.67
Symmetry: Pmm2 (25)
Excess energy over the best structure of this formula in the dataset in meV per atom: 213
E_form in eV per atom: 0.36

Unit cell a=2.6644 b=4.6563 c=5.1269 alpha=90.00 beta=90.00 gamma=90.00
With the nearest neighbours (Å) after each atom.
Positions (direct):
1 Zn 0.0000 0.0000 0.0000  2 Zn 2.66, 10 W 2.81-2.94
2 W 0.0000 0.5000 0.6918  10 W 2.66-2.93, 2 Zn 2.81
3 W 0.5000 0.0000 0.4892  8 W 2.66-2.88, 4 Zn 2.84-2.94
4 W 0.5000 0.5000 0.1831  8 W 2.66-2.93, 4 Zn 2.84